# Fe3SiRh

A geometry-optimized Fe3SiRh structure (PBE, the Alexandria database).

Cell lengths 4.201, 4.201, 4.201 Å; angles 90.00, 90.00, 90.00 degrees
Site moments in Bohr magnetons follow the coordinates.
Element x y z (fractional)
Fe 0.500 0.000 0.000  2.30
Fe 0.000 0.500 0.000  2.36
Fe 0.000 0.000 0.500  2.42
Rh 0.500 0.500 0.500  0.91
Si 0.000 0.000 0.000  -0.14

Values from the calculation:
The energy relative to the elements, uncorrected comes out at 0.724 eV per atom. The calculation puts the excess energy over the best structure of this formula in the dataset at 0 meV/atom. The value obtained for the volume is 14.83 A^3/atom. The calculation puts the spin magnetization at 7.69 μB per formula unit.